## a
7
Lattice="-3.8198 3.8198 9.5592 3.8198 -3.8198 9.5592 3.8198 3.8198 -9.5592" Properties=species:S:1:pos:R:3 comment="PBE Cs4NaHg2, relaxed" rho_g_cm3=2.84 dos_ef_per_ev_cell=6.67 total_magnetization_mub_per_cell=0.0 pbc="T T T"
Cs 3.8198 0.0000 0.0000
Cs 0.0000 0.0000 4.2282
Cs 0.0000 3.8198 0.0000
Cs 0.0000 0.0000 14.8901
Na 0.0000 0.0000 0.0000
Hg 0.0000 0.0000 8.0257
Hg 0.0000 0.0000 11.0926

***

## b
7
Lattice="5.9570 0.0000 0.0000 2.9071 9.4205 0.0000 2.9386 -0.0232 9.4422" Properties=species:S:1:pos:R:3 comment="PBE Cs4NaHg2, relaxed" rho_g_cm3=3.00 dos_ef_per_ev_cell=5.81 total_magnetization_mub_per_cell=0.0 pbc="T T T"
Cs 1.4754 1.5374 1.4755
Cs 4.3967 6.1727 3.1767
Cs 7.4059 3.2246 6.2655
Cs 10.3272 7.8599 7.9667
Na 4.4478 -0.0116 4.7211
Hg 5.8810 4.6920 9.4209
Hg 5.9216 4.7053 0.0213

***

Name the least stable of them. a.

***

## a
10
Lattice="11.1637 0.0000 0.0000 0.0000 11.1637 0.0000 0.0000 0.0000 5.4042" Properties=species:S:1:pos:R:3 comment="PBE Cs2Na2Hg, relaxed" rho_g_cm3=2.53 dos_ef_per_ev_cell=8.01 total_magnetization_mub_per_cell=0.0 pbc="T T T"
Cs 2.0182 3.5636 0.0000
Cs 3.5636 9.1454 0.0000
Cs 7.6001 2.0182 0.0000
Cs 9.1454 7.6001 0.0000
Na 1.2886 6.8704 2.7021
Na 4.2932 1.2886 2.7021
Na 6.8704 9.8751 2.7021
Na 9.8751 4.2932 2.7021
Hg 0.0000 0.0000 0.0000
Hg 5.5818 5.5818 0.0000

***

## b
5
Lattice="-2.4053 2.4053 12.3100 2.4053 -2.4053 12.3100 2.4053 2.4053 -12.3100" Properties=species:S:1:pos:R:3 comment="PBE Cs2Na2Hg, relaxed" rho_g_cm3=2.99 dos_ef_per_ev_cell=4.65 total_magnetization_mub_per_cell=0.0 pbc="T T T"
Cs 0.0000 0.0000 2.3106
Cs 0.0000 0.0000 22.3094
Na 2.4053 0.0000 6.1550
Na 0.0000 2.4053 6.1550
Hg 0.0000 0.0000 12.3100

***

## c
10
Lattice="8.9274 0.0000 0.0000 0.0000 8.9274 0.0000 0.0000 0.0000 6.6911" Properties=species:S:1:pos:R:3 comment="PBE Cs2Na2Hg, relaxed" rho_g_cm3=3.19 dos_ef_per_ev_cell=9.98 total_magnetization_mub_per_cell=0.0 pbc="T T T"
Cs 1.6550 2.8087 0.0000
Cs 2.8087 7.2724 0.0000
Cs 6.1186 1.6550 0.0000
Cs 7.2724 6.1186 0.0000
Na 1.2817 5.7454 3.3456
Na 3.1819 1.2817 3.3456
Na 5.7454 7.6456 3.3456
Na 7.6456 3.1819 3.3456
Hg 0.0000 0.0000 3.3456
Hg 4.4637 4.4637 3.3456

***

## d
10
Lattice="2.7164 -11.1375 0.0000 2.7164 11.1375 0.0000 0.0000 0.0000 9.6093" Properties=species:S:1:pos:R:3 comment="PBE Cs2Na2Hg, relaxed" rho_g_cm3=2.93 dos_ef_per_ev_cell=3.94 total_magnetization_mub_per_cell=0.0 pbc="T T T"
Cs 2.7164 9.8606 4.8046
Cs 2.7164 5.2327 7.4843
Cs 2.7164 -5.2327 2.6796
Cs 2.7164 -9.8606 0.0000
Na 2.7164 8.4794 0.7564
Na 2.7164 1.8007 3.3715
Na 2.7164 -1.8007 8.1761
Na 2.7164 -8.4794 5.5610
Hg 2.7164 1.1549 6.6017
Hg 2.7164 -1.1549 1.7971

***

Name the least stable of them. a.

***

## a
8
Lattice="8.1001 -3.8480 0.0000 8.1001 3.8480 0.0000 -3.6372 0.0000 6.7821" Properties=species:S:1:pos:R:3 comment="PBE Cs2Na5Hg, relaxed" rho_g_cm3=2.28 dos_ef_per_ev_cell=5.47 total_magnetization_mub_per_cell=0.0 pbc="T T T"
Cs 0.0000 0.0000 0.0000
Cs 6.2932 0.0000 3.3740
Na 12.2901 -1.8058 0.2025
Na 2.4940 2.0400 3.3925
Na -0.1579 0.0000 4.2848
Na 12.2901 1.8058 0.2025
Na 2.4940 -2.0400 3.3925
Hg 2.7251 0.0000 5.8410

***

## b
8
Lattice="0.0000 5.8340 7.9040 4.2926 0.0000 7.9040 4.2926 5.8340 0.0000" Properties=species:S:1:pos:R:3 comment="PBE Cs2Na5Hg, relaxed" rho_g_cm3=2.44 dos_ef_per_ev_cell=5.73 total_magnetization_mub_per_cell=0.0 pbc="T T T"
Cs 2.1463 2.9170 0.0000
Cs 2.1463 2.9170 7.9040
Na 6.6030 5.8340 4.6298
Na 4.2926 5.8340 2.0143
Na 4.2926 3.0000 11.7469
Na 1.9822 5.8340 4.6298
Na 4.2926 8.6680 11.7469
Hg 4.2926 5.8340 9.8876

***

Name the least stable of them. b.

***

## a
5
Lattice="-2.8721 2.8721 6.0317 2.8721 -2.8721 6.0317 2.8721 2.8721 -6.0317" Properties=species:S:1:pos:R:3 comment="PBE CsNa2Hg2, relaxed" rho_g_cm3=4.84 dos_ef_per_ev_cell=1.92 total_magnetization_mub_per_cell=0.0 pbc="T T T"
Cs 0.0000 0.0000 0.0000
Na 0.0000 0.0000 4.2808
Na 0.0000 0.0000 7.7826
Hg 2.8721 0.0000 3.0159
Hg 0.0000 2.8721 3.0159

***

## b
5
Lattice="-2.5971 2.5971 7.0388 2.5971 -2.5971 7.0388 2.5971 2.5971 -7.0388" Properties=species:S:1:pos:R:3 comment="PBE CsNa2Hg2, relaxed" rho_g_cm3=5.07 dos_ef_per_ev_cell=2.46 total_magnetization_mub_per_cell=0.0 pbc="T T T"
Cs 0.0000 0.0000 0.0000
Na 2.5971 0.0000 3.5194
Na 0.0000 2.5971 3.5194
Hg 0.0000 0.0000 5.4824
Hg 0.0000 0.0000 8.5953

***

Name the least stable of them. a.

***

## a
10
Lattice="9.0081 0.0000 0.0000 0.0000 5.1931 0.0000 -2.5549 0.0000 9.1860" Properties=species:S:1:pos:R:3 comment="PBE CsNa3Hg, relaxed" rho_g_cm3=3.11 dos_ef_per_ev_cell=5.43 total_magnetization_mub_per_cell=0.0 pbc="T T T"
Cs 0.0000 0.0000 0.0000
Cs 2.3347 2.5966 3.2383
Na -0.8320 0.0000 4.9919
Na 0.6134 2.5966 7.4210
Na 3.1146 0.0000 6.5069
Na 4.7415 0.0000 0.6859
Na 6.5993 2.5966 2.5418
Na 5.6805 2.5966 5.9121
Hg 3.6374 2.5966 8.4797
Hg 5.1506 0.0000 3.9371

***

## b
5
Lattice="7.7943 0.0000 0.0000 0.0000 7.7943 0.0000 0.0000 0.0000 7.7943" Properties=species:S:1:pos:R:3 comment="PBE CsNa3Hg, relaxed" rho_g_cm3=1.41 dos_ef_per_ev_cell=6.70 total_magnetization_mub_per_cell=0.0 pbc="T T T"
Cs 0.0000 0.0000 0.0000
Na 0.0000 0.0000 3.8971
Na 0.0000 3.8971 0.0000
Na 3.8971 0.0000 0.0000
Hg 3.8971 3.8971 3.8971

***

## c
20
Lattice="9.1435 -5.9504 0.0000 9.1435 5.9504 0.0000 -1.8255 0.0000 7.8384" Properties=species:S:1:pos:R:3 comment="PBE CsNa3Hg, relaxed" rho_g_cm3=3.13 dos_ef_per_ev_cell=13.80 total_magnetization_mub_per_cell=0.0 pbc="T T T"
Cs 7.7744 5.4161 5.8788
Cs 8.6872 1.6311 1.9596
Cs 7.7744 -1.6311 5.8788
Cs 8.6872 -5.4161 1.9596
Na 3.2246 2.0114 0.6812
Na 2.4096 2.0239 4.6851
Na 4.9812 0.0264 3.1705
Na 4.0684 -0.0264 7.0897
Na 2.3118 -2.0114 4.6004
Na 3.3224 -2.0239 0.7659
Na 13.1392 2.0239 7.0725
Na 14.1497 2.0114 3.2380
Na 12.3932 0.0264 0.7487
Na 11.4804 -0.0264 4.6680
Na 14.0519 -2.0239 3.1533
Na 13.2370 -2.0114 7.1572
Hg 6.1645 1.9920 5.5276
Hg 9.3843 1.9920 6.2300
Hg 7.0773 -1.9920 1.6084
Hg 10.2971 -1.9920 2.3108

***

## d
5
Lattice="6.1291 0.0000 0.0000 0.0000 6.1291 0.0000 0.0000 0.0000 6.1291" Properties=species:S:1:pos:R:3 comment="PBE CsNa3Hg, relaxed" rho_g_cm3=2.90 dos_ef_per_ev_cell=2.65 total_magnetization_mub_per_cell=0.0 pbc="T T T"
Cs 0.0000 0.0000 0.0000
Na 0.0000 3.0646 3.0646
Na 3.0646 0.0000 3.0646
Na 3.0646 3.0646 0.0000
Hg 3.0646 3.0646 3.0646

***

Name the least stable of them. b.

***

## a
5
Lattice="5.9179 0.0000 0.0000 0.0000 5.9179 0.0000 0.0000 0.0000 5.9179" Properties=species:S:1:pos:R:3 comment="PBE CsNaHg3, relaxed" rho_g_cm3=6.07 dos_ef_per_ev_cell=3.21 total_magnetization_mub_per_cell=0.0 pbc="T T T"
Cs 0.0000 0.0000 0.0000
Na 2.9590 2.9590 2.9590
Hg 0.0000 2.9590 2.9590
Hg 2.9590 0.0000 2.9590
Hg 2.9590 2.9590 0.0000

***

## b
5
Lattice="6.8129 0.0000 0.0000 0.0000 6.8129 0.0000 0.0000 0.0000 6.8129" Properties=species:S:1:pos:R:3 comment="PBE CsNaHg3, relaxed" rho_g_cm3=3.98 dos_ef_per_ev_cell=2.50 total_magnetization_mub_per_cell=0.0 pbc="T T T"
Cs 0.0000 0.0000 0.0000
Na 3.4065 3.4065 3.4065
Hg 0.0000 0.0000 3.4065
Hg 0.0000 3.4065 0.0000
Hg 3.4065 0.0000 0.0000

***

## c
5
Lattice="3.7986 -3.7960 0.0000 3.7986 3.7960 0.0000 -3.7755 0.0000 6.3237" Properties=species:S:1:pos:R:3 comment="PBE CsNaHg3, relaxed" rho_g_cm3=6.90 dos_ef_per_ev_cell=2.73 total_magnetization_mub_per_cell=0.0 pbc="T T T"
Cs 0.0000 0.0000 0.0000
Na 3.8041 0.0000 1.7384
Hg 1.9114 1.9016 3.3153
Hg 0.0161 0.0000 5.0146
Hg 1.9114 -1.9016 3.3153

***

Name the least stable of them. b.

***

## a
6
Lattice="5.3321 0.0000 0.0000 -2.6661 4.6177 0.0000 0.0000 0.0000 8.3435" Properties=species:S:1:pos:R:3 comment="PBE CsNaHg4, relaxed" rho_g_cm3=7.75 dos_ef_per_ev_cell=2.86 total_magnetization_mub_per_cell=0.0 pbc="T T T"
Cs 0.0000 0.0000 0.0000
Na 0.0000 0.0000 4.1718
Hg 0.0000 3.0785 2.5970
Hg 0.0000 3.0785 5.7465
Hg 2.6661 1.5392 2.5970
Hg 2.6661 1.5392 5.7465

***

## b
6
Lattice="0.0000 4.6099 4.6099 4.6099 0.0000 4.6099 4.6099 4.6099 0.0000" Properties=species:S:1:pos:R:3 comment="PBE CsNaHg4, relaxed" rho_g_cm3=8.12 dos_ef_per_ev_cell=3.99 total_magnetization_mub_per_cell=0.0 pbc="T T T"
Cs 0.0000 0.0000 0.0000
Na 2.3049 2.3049 2.3049
Hg 5.7502 3.4695 3.4695
Hg 3.4695 5.7502 3.4695
Hg 3.4695 3.4695 5.7502
Hg 5.7502 5.7502 5.7502

***

## c
24
Lattice="-5.9186 5.9186 6.5526 5.9186 -5.9186 6.5526 5.9186 5.9186 -6.5526" Properties=species:S:1:pos:R:3 comment="PBE CsNaHg4, relaxed" rho_g_cm3=6.93 dos_ef_per_ev_cell=11.50 total_magnetization_mub_per_cell=0.0 pbc="T T T"
Cs 0.0000 0.0000 2.1034
Cs 5.9186 0.0000 3.2763
Cs 0.0000 5.9186 3.2763
Cs 0.0000 0.0000 11.0019
Na 5.9186 3.5651 0.0000
Na 3.5651 5.9186 0.0000
Na 2.3536 0.0000 6.5526
Na 0.0000 2.3536 6.5526
Hg 3.6519 1.4536 0.0000
Hg 8.1854 1.4536 0.0000
Hg 3.7258 3.7258 -2.2816
Hg 2.1929 -2.1929 4.2710
Hg 1.4536 3.6519 0.0000
Hg 4.4650 -2.2668 6.5526
Hg 3.7258 3.7258 2.2816
Hg 2.1929 -2.1929 8.8342
Hg -2.1929 2.1929 4.2710
Hg 2.1929 2.1929 4.2710
Hg 1.4536 8.1854 0.0000
Hg 4.4650 2.2668 6.5526
Hg -2.1929 2.1929 8.8342
Hg 2.1929 2.1929 8.8342
Hg -2.2668 4.4650 6.5526
Hg 2.2668 4.4650 6.5526

***

Name the least stable of them. c.

***

## a
7
Lattice="3.4612 -8.7339 0.0000 3.4612 8.7339 0.0000 0.0000 0.0000 5.3931" Properties=species:S:1:pos:R:3 comment="PBE Cs2NaHg4, relaxed" rho_g_cm3=5.56 dos_ef_per_ev_cell=4.16 total_magnetization_mub_per_cell=0.0 pbc="T T T"
Cs 3.4612 6.0216 0.0000
Cs 3.4612 -6.0216 0.0000
Na 3.4612 0.0000 2.6966
Hg 3.4612 3.1822 2.6966
Hg 3.4612 1.5648 0.0000
Hg 3.4612 -1.5648 0.0000
Hg 3.4612 -3.1822 2.6966

***

## b
7
Lattice="-2.9344 2.9344 9.6114 2.9344 -2.9344 9.6114 2.9344 2.9344 -9.6114" Properties=species:S:1:pos:R:3 comment="PBE Cs2NaHg4, relaxed" rho_g_cm3=5.47 dos_ef_per_ev_cell=5.31 total_magnetization_mub_per_cell=0.0 pbc="T T T"
Cs 0.0000 0.0000 2.6340
Cs 0.0000 0.0000 16.5887
Na 0.0000 0.0000 9.6114
Hg 2.9344 0.0000 0.0000
Hg 0.0000 0.0000 6.5485
Hg 0.0000 2.9344 0.0000
Hg 0.0000 0.0000 12.6742

***

Name the least stable of them. b.

***

## a
11
Lattice="-3.6908 6.1355 10.1643 3.6908 -6.1355 10.1643 3.6908 6.1355 -10.1643" Properties=species:S:1:pos:R:3 comment="PBE Cs8Na2Hg, relaxed" rho_g_cm3=2.36 dos_ef_per_ev_cell=8.49 total_magnetization_mub_per_cell=0.0 pbc="T T T"
Cs 3.6908 3.3649 -3.0904
Cs 0.0000 0.0000 2.7871
Cs 0.0000 3.8859 0.0000
Cs 3.6908 3.3649 3.0904
Cs 0.0000 2.7706 7.0739
Cs 0.0000 8.3852 0.0000
Cs 0.0000 0.0000 17.5414
Cs 0.0000 2.7706 13.2547
Na 3.6908 0.0000 6.1218
Na 0.0000 6.1355 4.0425
Hg 3.6908 0.0000 0.0000

***

## b
11
Lattice="12.9226 -3.7347 0.0000 12.9226 3.7347 0.0000 -2.9747 0.0000 9.4381" Properties=species:S:1:pos:R:3 comment="PBE Cs8Na2Hg, relaxed" rho_g_cm3=2.39 dos_ef_per_ev_cell=7.73 total_magnetization_mub_per_cell=0.0 pbc="T T T"
Cs -0.3441 0.0000 2.7168
Cs 3.0259 0.0000 7.4519
Cs 7.4505 0.0000 5.1480
Cs 10.3073 0.0000 0.7331
Cs 12.5633 0.0000 8.7050
Cs 15.4200 0.0000 4.2901
Cs 19.8447 0.0000 1.9862
Cs 23.2147 0.0000 6.7213
Na 4.0761 0.0000 2.0244
Na 18.7944 0.0000 7.4137
Hg 11.4353 0.0000 4.7191

***

Name the least stable of them. a.